HoPaAl PBE-GGA relaxed; raw total energy = -6.00 eV/atom; distance to the lowest polymorph of the same formula = 0 meV/atom; total moment = 0.00 μB/f.u.; ΔH_f (0 K) = -0.18 eV per formula unit; space-group type = I4mm
1.0
3.192 0.000 0.000
0.000 3.192 0.000
-1.596 -1.596 7.086
Pa Ho Al
1 1 1
direct
0.963 0.963 0.926
0.271 0.271 0.542
0.616 0.616 0.231